Material: BaMgPdPb2
Method: DFT, PBE-GGA
State: relaxed

abc: 5.0777 5.0777 11.2578
angles: 90.00 90.00 90.00
Closest atoms and distances in Å follow each position.
Fractional coordinates of all 10 atoms:
Ba1 0.0000 0.0000 0.0000  4 Mg 3.75, 8 Pb 3.75-3.83, 5 Pd 3.90-4.11
Ba2 0.5000 0.5000 0.5000  4 Mg 3.75, 8 Pb 3.75-3.83, 5 Pd 3.90-4.11
Mg1 0.0000 0.0000 0.4053  1 Pd 2.59
Mg2 0.5000 0.5000 0.9053  1 Pd 2.59
Pd1 0.0000 0.0000 0.6352  1 Mg 2.59, 4 Pb 2.82
Pd2 0.5000 0.5000 0.1352  1 Mg 2.59, 4 Pb 2.82
Pb1 0.0000 0.5000 0.2450  2 Pd 2.82, 2 Mg 3.11
Pb2 0.0000 0.5000 0.7450  2 Pd 2.82, 2 Mg 3.11
Pb3 0.5000 0.0000 0.2450  2 Pd 2.82, 2 Mg 3.11
Pb4 0.5000 0.0000 0.7450  2 Pd 2.82, 2 Mg 3.11

Properties
E_tot: -36.401 eV for the cell shown
Crystal system: tetragonal

---

Material: LiTcBi
Method: DFT, PBE-GGA
State: relaxed

abc: 6.3191 6.3191 6.3191
angles: 90.00 90.00 90.00
Closest atoms and distances in Å follow each position.
Fractional coordinates of all 12 atoms:
Li1 0.0000 0.0000 0.0000  4 Bi 2.74
Li2 0.0000 0.5000 0.5000  4 Bi 2.74
Li3 0.5000 0.0000 0.5000  4 Bi 2.74
Li4 0.5000 0.5000 0.0000  4 Bi 2.74
Tc1 0.0000 0.0000 0.5000  4 Bi 2.74
Tc2 0.0000 0.5000 0.0000  4 Bi 2.74
Tc3 0.5000 0.0000 0.0000  4 Bi 2.74
Tc4 0.5000 0.5000 0.5000  4 Bi 2.74
Bi1 0.2500 0.2500 0.2500  4 Li 2.74, 4 Tc 2.74
Bi2 0.2500 0.7500 0.7500  4 Tc 2.74, 4 Li 2.74
Bi3 0.7500 0.2500 0.7500  4 Tc 2.74, 4 Li 2.74
Bi4 0.7500 0.7500 0.2500  4 Li 2.74, 4 Tc 2.74

Properties
E_tot: -59.258 eV for the cell shown
Crystal system: cubic
Spin magnetization: 0.01 μB per atom